Density functional theory data (PBE) for a geometry-optimized Ni2Pt2Cl structure.

## Properties
ΔE_f (raw) = 0.39 eV/atom
symmetry = No. 139
theoretical density = 10.69 g/cm³

Cell lengths 3.7038, 3.7038, 6.6836 Å; angles 73.91, 73.91, 90.00 degrees
Element x y z (fractional)
Ni1 0.3952 0.3952 0.2096
Ni2 0.6048 0.6048 0.7904
Pt1 0.7500 0.2500 0.5000
Pt2 0.2500 0.7500 0.5000
Cl1 0.0000 0.0000 0.0000

Density functional theory data (PBE) for a geometry-optimized TlTcAs2 structure.

## Properties
symmetry = No. 6
energy relative to the elements = -122.7 meV per atom
theoretical density = 8.61 g/cm³

Cell lengths 3.2043, 9.8065, 3.2053 Å; angles 90.00, 119.98, 90.00 degrees
Element x y z (fractional)
As1 0.7711 0.6767 0.9152
As2 0.7711 0.3233 0.9152
Tl1 0.7687 0.0000 0.8928
Tc1 0.4378 0.5000 0.2486

Q: Which energy above the lowest structure with this stoichiometry values were calculated for the entries above? A: 64, 0, in meV per atom.
Q: Which total magnetic moment values were calculated for the entries above? A: 2.81, 0.00, in μB per formula unit.